Record 1
4
Lattice="-4.039 -5.095 -6.367 0.645 -4.390 -7.945 2.413 2.675 8.357" Properties=species:S:1:pos:R:3 comment="PBE BeAgSe2, optimized geometry" formation_energy_uncorrected_mev_per_atom=243 sg="I-4m2, No. 119" pbc="T T T"
Be -1.661 -3.582 -2.583
Se 0.000 0.000 0.000
Se 0.681 -3.229 -3.372
Ag -1.697 -4.743 -7.156

***

Record 2
4
Lattice="3.617 0.000 0.000 0.000 3.617 0.000 0.000 0.000 6.315" Properties=species:S:1:pos:R:3 comment="PBE AcP2Pd, optimized geometry" relative_energy_ev_per_atom=0.649 formation_enthalpy_0k_ev_per_atom=-0.321 sg="P4/mmm, No. 123" pbc="T T T"
P 0.000 0.000 5.226
P 0.000 0.000 1.090
Ac 1.809 1.809 3.158
Pd 1.809 1.809 0.000

***

Record 3
4
Lattice="3.451 0.000 0.000 1.725 2.989 0.000 1.725 0.996 9.985" Properties=species:S:1:pos:R:3 comment="PBE HoSc2Hg, optimized geometry" relative_energy_ev_per_atom=0.075 formation_enthalpy_0k_ev_per_atom=-0.114 sg="R3m, No. 160" pbc="T T T"
Ho 3.451 1.992 4.983
Sc 1.725 0.996 7.700
Sc 1.725 0.996 2.286
Hg 3.451 1.992 0.009

***

Record 4
14
Lattice="4.633 0.091 -1.906 -1.494 6.174 -3.336 0.312 -0.648 6.376" Properties=species:S:1:pos:R:3 comment="PBE AlNi4P2, optimized geometry" formation_enthalpy_0k_ev_per_atom=-0.399 sg="Cm, No. 8" pbc="T T T"
Ni 2.140 1.064 1.010
Ni 3.685 4.187 -1.618
Ni 3.549 0.326 -0.986
Ni 4.272 0.411 2.273
Ni 3.609 3.152 0.791
Ni 0.533 3.308 -1.832
Ni 1.454 3.327 2.137
Ni 2.106 0.631 3.594
Al -0.211 5.356 2.292
Al 1.558 4.570 0.044
P 0.397 1.324 2.272
P 3.374 2.390 2.912
P 2.354 2.316 -0.877
P 1.655 5.202 -2.437

***

Record 5
12
Lattice="6.744 -0.002 -0.003 -3.372 5.840 -0.003 -1.127 -1.951 6.587" Properties=species:S:1:pos:R:3 comment="PBE Li3SmZr2Se6, optimized geometry" formation_energy_uncorrected_mev_per_atom=-1421 sg="C2/m, No. 12" pbc="T T T"
Li -2.291 3.915 3.290
Li 4.536 -0.028 3.290
Li 1.123 1.944 3.290
Sm 0.000 0.000 0.000
Zr -0.004 3.895 -0.003
Zr 3.376 1.943 -0.003
Se 3.427 1.839 4.905
Se 2.191 3.794 1.680
Se -1.182 2.049 1.676
Se -0.120 3.888 4.905
Se 0.054 0.094 4.900
Se 2.365 0.000 1.676

***

N(E_F), record by record: 0.647, 0.848, 1.405, 0.266, 0.349 states/eV per atom
DFT total energy, record by record: -3.144, -5.352, -4.500, -5.783, -5.460 eV per atom